# 1
Material: Nd6GaAu5
Method: DFT, GGA-PBE
State: relaxed

Geometry as POSCAR:
```
Nd6GaAu5
1.0
-4.136 -2.958 -1.254
-1.893 -0.411 7.209
-2.346 7.976 -0.161
Nd Au Ga
6 5 1
Cartesian
-6.428 2.533 4.267
-1.947 2.074 1.527
-5.824 6.191 4.584
-5.475 2.740 0.638
-2.550 -1.584 1.210
-2.900 1.868 5.155
-5.348 0.156 6.334
-4.503 0.512 2.712
-0.946 -0.205 3.605
-3.872 4.096 3.082
-3.027 4.452 -0.541
0.000 0.000 0.000
```

* E_form: -0.7224 eV/atom
* size of the total moment: 0.00 μB per atom

=====

# 2
Material: Nd2Ga3Au5
Method: DFT, GGA-PBE
State: relaxed

Geometry as POSCAR:
```
Nd2Ga3Au5
1.0
4.540 0.000 -0.773
0.000 7.250 0.000
-0.191 0.000 12.591
Au Ga Nd
10 6 4
Cartesian
1.187 3.801 6.969
3.162 0.176 4.849
4.134 0.342 10.557
2.704 6.784 2.159
0.500 1.600 2.936
0.215 3.967 1.261
1.251 6.719 7.344
3.098 3.094 4.474
1.645 3.159 9.659
3.849 5.225 8.882
2.698 4.109 2.125
1.651 0.484 9.693
4.138 3.145 10.576
3.401 5.225 6.249
0.212 6.770 1.242
0.949 1.600 5.569
2.354 1.769 0.105
0.728 5.404 4.276
3.621 1.779 7.542
1.995 5.394 11.713
```

* E_form: -0.5976 eV/atom
* size of the total moment: 0.00 μB per atom

=====

# 3
Material: NdGaAu4
Method: DFT, GGA-PBE
State: relaxed

Geometry as POSCAR:
```
NdGaAu4
1.0
5.810 0.413 2.315
1.502 7.422 2.011
0.568 0.413 6.228
Nd Ga Au
2 2 8
Cartesian
6.262 6.701 8.388
1.618 1.547 2.167
4.132 6.214 5.536
3.747 2.033 5.019
4.653 0.413 3.178
1.701 3.528 5.341
4.637 3.528 3.149
6.179 4.720 5.214
3.242 4.720 7.406
1.724 0.413 5.365
5.209 2.394 6.978
2.670 5.853 3.577
```

* E_form: -0.4741 eV/atom
* size of the total moment: 0.00 μB per atom

=====

Which total DFT energy (no corrections) belongs to each record? In order, -4.7241 -4.0979 -3.9581 eV/atom.